No. 1
An optimized crystal structure of YAl2RePt. Source: the Alexandria database, functional PBE.

DOS(E_F) in states/eV per atom: 0.83
Formation enthalpy at 0 K in eV per atom: 0.455

Unit cell a=4.656 b=4.656 c=5.346 alpha=90.00 beta=90.00 gamma=90.00
Fractional positions:
1 Y 0.000 0.000 0.000
2 Al 0.000 0.500 0.500
3 Al 0.500 0.000 0.500
4 Re 0.500 0.500 0.000
5 Pt 0.000 0.000 0.500

No. 2
An optimized crystal structure of Cd2NiTe. Source: the Alexandria database, functional PBE.

E_form (uncorrected) in eV per atom: 0.24
DOS(E_F) in states/eV per atom: 0.50

Unit cell a=5.350 b=5.350 c=5.350 alpha=131.82 beta=131.82 gamma=70.52
Fractional positions:
1 Cd 0.000 0.000 0.000
2 Cd 0.750 0.250 0.500
3 Ni 0.250 0.750 0.500
4 Te 0.500 0.500 0.000

No. 3
An optimized crystal structure of CaCu3S. Source: the Alexandria database, functional PBE.

E_form (uncorrected) in eV per atom: 0.14
DOS(E_F) in states/eV per atom: 0.74

Unit cell a=4.551 b=4.551 c=4.551 alpha=90.00 beta=90.00 gamma=90.00
Fractional positions:
1 Ca 0.000 0.000 0.000
2 Cu 0.000 0.500 0.500
3 Cu 0.500 0.000 0.500
4 Cu 0.500 0.500 0.000
5 S 0.500 0.500 0.500

Q: What is the DOS(E_F) in the second record?
A: 0.50 states/eV per atom

Q: Which of these has the lowest DOS(E_F)?
A: Cd2NiTe

Q: Look up the DOS(E_F) of the second one.
A: 0.50 states/eV per atom

Q: The lowest DOS(E_F) belongs to which entry?
A: Cd2NiTe